No. 1
# Ac3HgOsCl, relaxed, DFT PBE
# DOS at the Fermi energy ... 0.5680 states/eV per atom
# Magnetic moment ... 0.000 μB per atom
# Raw formation energy ... -348 kJ/mol of formula units
# ρ ... 8.973 Mg/m³
data_Ac3HgOsCl
_symmetry_space_group_name_H-M 'P 1 21/m 1'
_symmetry_Int_Tables_number 11
_cell_length_a 9.0969
_cell_length_b 4.5391
_cell_length_c 10.0154
_cell_angle_alpha 90.00
_cell_angle_beta 97.72
_cell_angle_gamma 90.00
loop_
_symmetry_equiv_pos_as_xyz
'x,y,z'
'-x,-y,-z'
'-x,y+1/2,-z'
'x,-y+1/2,z'
loop_
_atom_site_label
_atom_site_type_symbol
_atom_site_fract_x
_atom_site_fract_y
_atom_site_fract_z
Ac1 Ac 0.0600 0.2500 0.3474
Ac2 Ac 0.2192 0.2500 0.9366
Ac3 Ac 0.3631 0.7500 0.6125
Hg1 Hg 0.2980 0.7500 0.2398
Os1 Os 0.1594 0.2500 0.6488
Cl1 Cl 0.4334 0.7500 0.9042

No. 2
# AcHgPbCl, relaxed, DFT PBE
# DOS at the Fermi energy ... 0.2805 states/eV per atom
# Magnetic moment ... 0.000 μB per atom
# Raw formation energy ... -318 kJ/mol of formula units
# ρ ... 9.983 Mg/m³
data_AcHgPbCl
_symmetry_space_group_name_H-M 'F -4 3 m'
_symmetry_Int_Tables_number 216
_symmetry_space_group_name_Hall 'F -4 2 3'
_cell_length_a 7.6400
_cell_length_b 7.6400
_cell_length_c 7.6400
_cell_angle_alpha 90.00
_cell_angle_beta 90.00
_cell_angle_gamma 90.00
loop_
_atom_site_label
_atom_site_type_symbol
_atom_site_fract_x
_atom_site_fract_y
_atom_site_fract_z
Ac1 Ac 0.0000 0.0000 0.0000
Hg1 Hg 0.2500 0.2500 0.7500
Pb1 Pb 0.0000 0.0000 0.5000
Cl1 Cl 0.2500 0.2500 0.2500

No. 3
# Ac3HgPtCl, relaxed, DFT PBE
# DOS at the Fermi energy ... 0.7977 states/eV per atom
# Magnetic moment ... 0.000 μB per atom
# Raw formation energy ... -578 kJ/mol of formula units
# ρ ... 9.136 Mg/m³
data_Ac3HgPtCl
_symmetry_space_group_name_H-M 'P 1 21/m 1'
_symmetry_Int_Tables_number 11
_cell_length_a 8.7418
_cell_length_b 4.6358
_cell_length_c 10.1814
_cell_angle_alpha 90.00
_cell_angle_beta 101.53
_cell_angle_gamma 90.00
loop_
_symmetry_equiv_pos_as_xyz
'x,y,z'
'-x,-y,-z'
'-x,y+1/2,-z'
'x,-y+1/2,z'
loop_
_atom_site_label
_atom_site_type_symbol
_atom_site_fract_x
_atom_site_fract_y
_atom_site_fract_z
Ac1 Ac 0.0614 0.2500 0.3438
Ac2 Ac 0.2091 0.2500 0.9684
Ac3 Ac 0.3965 0.7500 0.6294
Hg1 Hg 0.2976 0.7500 0.2525
Pt1 Pt 0.1695 0.2500 0.6503
Cl1 Cl 0.4099 0.7500 0.9172

No. 4
# Ac6Hg3Rh2Cl, relaxed, DFT PBE
# DOS at the Fermi energy ... 0.7781 states/eV per atom
# Magnetic moment ... 0.000 μB per atom
# Raw formation energy ... -851 kJ/mol of formula units
# ρ ... 9.045 Mg/m³
data_Ac6Hg3Rh2Cl
_symmetry_space_group_name_H-M 'C 1 2/m 1'
_symmetry_Int_Tables_number 12
_cell_length_a 7.6331
_cell_length_b 13.1568
_cell_length_c 8.4234
_cell_angle_alpha 90.00
_cell_angle_beta 106.84
_cell_angle_gamma 90.00
loop_
_symmetry_equiv_pos_as_xyz
'x,y,z'
'-x,-y,-z'
'-x,y,-z'
'x,-y,z'
'x+1/2,y+1/2,z'
'-x+1/2,-y+1/2,-z'
'-x+1/2,y+1/2,-z'
'x+1/2,-y+1/2,z'
loop_
_atom_site_label
_atom_site_type_symbol
_atom_site_fract_x
_atom_site_fract_y
_atom_site_fract_z
Ac1 Ac 0.2107 0.0000 0.2022
Ac2 Ac 0.2443 0.1807 0.7761
Hg1 Hg 0.0000 0.0000 0.5000
Hg2 Hg 0.0000 0.3575 0.5000
Rh1 Rh 0.0000 0.1694 0.0000
Cl1 Cl 0.0000 0.5000 0.0000

No. 5
# Ac3HgRhCl, relaxed, DFT PBE
# DOS at the Fermi energy ... 0.6235 states/eV per atom
# Magnetic moment ... 0.000 μB per atom
# Raw formation energy ... -498 kJ/mol of formula units
# ρ ... 8.476 Mg/m³
data_Ac3HgRhCl
_symmetry_space_group_name_H-M 'P 1 21/m 1'
_symmetry_Int_Tables_number 11
_cell_length_a 8.9740
_cell_length_b 4.5072
_cell_length_c 10.0401
_cell_angle_alpha 90.00
_cell_angle_beta 100.23
_cell_angle_gamma 90.00
loop_
_symmetry_equiv_pos_as_xyz
'x,y,z'
'-x,-y,-z'
'-x,y+1/2,-z'
'x,-y+1/2,z'
loop_
_atom_site_label
_atom_site_type_symbol
_atom_site_fract_x
_atom_site_fract_y
_atom_site_fract_z
Ac1 Ac 0.0593 0.2500 0.3455
Ac2 Ac 0.2086 0.2500 0.9587
Ac3 Ac 0.3776 0.7500 0.6190
Hg1 Hg 0.3022 0.7500 0.2513
Rh1 Rh 0.1624 0.2500 0.6441
Cl1 Cl 0.4169 0.7500 0.9112

No. 6
# Ac3HgRuCl, relaxed, DFT PBE
# DOS at the Fermi energy ... 0.5405 states/eV per atom
# Magnetic moment ... 0.000 μB per atom
# Raw formation energy ... -392 kJ/mol of formula units
# ρ ... 8.351 Mg/m³
data_Ac3HgRuCl
_symmetry_space_group_name_H-M 'P 1 21/m 1'
_symmetry_Int_Tables_number 11
_cell_length_a 9.2422
_cell_length_b 4.4489
_cell_length_c 9.9356
_cell_angle_alpha 90.00
_cell_angle_beta 97.67
_cell_angle_gamma 90.00
loop_
_symmetry_equiv_pos_as_xyz
'x,y,z'
'-x,-y,-z'
'-x,y+1/2,-z'
'x,-y+1/2,z'
loop_
_atom_site_label
_atom_site_type_symbol
_atom_site_fract_x
_atom_site_fract_y
_atom_site_fract_z
Ac1 Ac 0.0603 0.2500 0.3434
Ac2 Ac 0.2192 0.2500 0.9377
Ac3 Ac 0.3588 0.7500 0.6076
Hg1 Hg 0.3009 0.7500 0.2401
Ru1 Ru 0.1553 0.2500 0.6481
Cl1 Cl 0.4351 0.7500 0.9003